# YCoNiO2, relaxed, DFT PBE+U
# E = -5.278 eV/atom
data_YCoNiO2
_symmetry_space_group_name_H-M 'P 4/m m m'
_symmetry_Int_Tables_number 123
_symmetry_space_group_name_Hall '-P 4 2'
_cell_length_a 4.0091
_cell_length_b 4.0091
_cell_length_c 4.1995
_cell_angle_alpha 90.00
_cell_angle_beta 90.00
_cell_angle_gamma 90.00
loop_
_atom_site_label
_atom_site_type_symbol
_atom_site_fract_x
_atom_site_fract_y
_atom_site_fract_z
Y1 Y 0.0000 0.0000 0.0000
Co1 Co 0.5000 0.5000 0.0000
Ni1 Ni 0.5000 0.5000 0.5000
O1 O 0.0000 0.5000 0.5000